#A
The following is a DFT calculation (GGA-PBE) of a relaxed ReAs2Ru crystal.

Computed properties:
**Crystal system**: monoclinic
**Calculated volume**: 15.76 Å³ per atom
**N(E_F)**: 3.2 states/eV per cell
**Space-group type**: P2/m

Unit cell a=4.0349 b=2.9836 c=5.2360 alpha=89.76 beta=90.00 gamma=90.00
Positions (direct):
Re1 0.5000 0.2500 0.2500
As1 0.0000 0.9373 0.0115
As2 0.0000 0.5627 0.4885
Ru1 0.5000 0.7500 0.7500

#B
The following is a DFT calculation (GGA-PBE) of a relaxed ReAs2Ru crystal.

Computed properties:
**Crystal system**: orthorhombic
**Calculated volume**: 15.82 Å³ per atom
**N(E_F)**: 2.8 states/eV per cell
**Space-group type**: Cmmm

Unit cell a=3.0050 b=3.0050 c=8.0433 alpha=90.00 beta=90.00 gamma=119.42
Positions (direct):
Re1 0.5000 0.5000 0.2500
As1 0.0000 0.0000 0.9968
As2 0.0000 0.0000 0.5032
Ru1 0.5000 0.5000 0.7500

Most stable pick: #B. Distance to second place: 1.6 kJ/mol of atoms.